--- a ---
An optimized crystal structure of ZrBe3Re, computed with GGA-PBE.

Cell lengths 4.274, 4.274, 4.274 Å; angles 90.00, 90.00, 90.00 degrees
Last column: magnetic moment on the atom in μB.
Fractional positions:
Re: 0.500 0.500 0.500  1.83
Zr: 0.000 0.000 0.000  0.29
Be: 0.000 0.500 0.000  0.03
Be: 0.000 0.000 0.500  0.02
Be: 0.500 0.000 0.000  0.04

## Properties
- SG = No. 221
- total moment (μB/f.u.) = 2.5

--- b ---
An optimized crystal structure of ZrBe3Re, computed with GGA-PBE.

Cell lengths 4.188, 4.188, 4.188 Å; angles 90.00, 90.00, 90.00 degrees
Fractional positions:
Re: 0.000 0.000 0.000
Zr: 0.500 0.500 0.500
Be: 0.000 0.500 0.000
Be: 0.000 0.000 0.500
Be: 0.500 0.000 0.000

## Properties
- SG = No. 221
- total moment (μB/f.u.) = 0.0

Most stable: b

--- a ---
An optimized crystal structure of ZrBeRe3, computed with GGA-PBE.

Cell lengths 4.251, 4.251, 4.251 Å; angles 90.00, 90.00, 90.00 degrees
Fractional positions:
Re: 0.000 0.500 0.000
Re: 0.000 0.000 0.500
Re: 0.500 0.000 0.000
Zr: 0.500 0.500 0.500
Be: 0.000 0.000 0.000

## Properties
- SG = No. 221
- total moment (μB/f.u.) = 0.0

--- b ---
An optimized crystal structure of ZrBeRe3, computed with GGA-PBE.

Cell lengths 4.780, 4.780, 4.780 Å; angles 90.00, 90.00, 90.00 degrees
Last column: magnetic moment on the atom in μB.
Fractional positions:
Re: 0.000 0.500 0.000  0.72
Re: 0.000 0.000 0.500  0.62
Re: 0.500 0.000 0.000  0.80
Zr: 0.000 0.000 0.000  -0.06
Be: 0.500 0.500 0.500  -0.05

## Properties
- SG = No. 221
- total moment (μB/f.u.) = 2.2

Most stable: a

--- a ---
An optimized crystal structure of Be3Rh5, computed with GGA-PBE.

Cell lengths 6.584, 6.584, 5.045 Å; angles 90.00, 90.00, 120.00 degrees
Fractional positions:
Be: 0.599 0.000 0.250
Be: 0.401 0.000 0.750
Be: 0.000 0.599 0.250
Be: 0.401 0.401 0.250
Be: 0.599 0.599 0.750
Be: 0.000 0.401 0.750
Rh: 0.333 0.667 0.000
Rh: 0.667 0.333 0.500
Rh: 0.667 0.333 0.000
Rh: 0.333 0.667 0.500
Rh: 0.242 0.000 0.250
Rh: 0.758 0.000 0.750
Rh: 0.000 0.242 0.250
Rh: 0.758 0.758 0.250
Rh: 0.242 0.242 0.750
Rh: 0.000 0.758 0.750

## Properties
- SG = No. 193
- total moment (μB/f.u.) = 0.0

--- b ---
An optimized crystal structure of Be3Rh5, computed with GGA-PBE.

Cell lengths 2.775, 2.775, 12.120 Å; angles 90.00, 90.00, 90.00 degrees
Fractional positions:
Be: 0.500 0.500 0.111
Be: 0.500 0.500 0.889
Be: 0.000 0.000 0.500
Rh: 0.000 0.000 0.228
Rh: 0.500 0.500 0.614
Rh: 0.500 0.500 0.386
Rh: 0.000 0.000 0.772
Rh: 0.000 0.000 0.000

## Properties
- SG = No. 123
- total moment (μB/f.u.) = 0.0

--- c ---
An optimized crystal structure of Be3Rh5, computed with GGA-PBE.

Cell lengths 5.057, 5.057, 3.950 Å; angles 90.00, 90.00, 107.10 degrees
Fractional positions:
Be: 0.500 0.500 0.000
Be: 0.770 0.230 0.500
Be: 0.230 0.770 0.500
Rh: 0.000 0.000 0.000
Rh: 0.000 0.500 0.000
Rh: 0.500 0.000 0.000
Rh: 0.280 0.280 0.500
Rh: 0.720 0.720 0.500

## Properties
- SG = No. 65
- total moment (μB/f.u.) = 0.0

--- d ---
An optimized crystal structure of Be3Rh5, computed with GGA-PBE.

Cell lengths 6.726, 6.725, 6.727 Å; angles 97.31, 97.29, 138.17 degrees
Fractional positions:
Be: 0.750 0.749 0.000
Be: 0.249 0.251 0.000
Be: 0.333 0.168 0.500
Be: 0.666 0.832 0.500
Be: 0.204 0.705 0.835
Be: 0.795 0.295 0.165
Rh: 0.237 0.738 0.477
Rh: 0.762 0.262 0.523
Rh: 0.784 0.075 0.861
Rh: 0.215 0.925 0.139
Rh: 0.712 0.573 0.290
Rh: 0.287 0.427 0.710
Rh: 0.575 0.285 0.861
Rh: 0.424 0.715 0.139
Rh: 0.073 0.212 0.290
Rh: 0.926 0.788 0.710

## Properties
- SG = No. 12
- total moment (μB/f.u.) = 0.0

Most stable: b

--- a ---
An optimized crystal structure of Be12Rh, computed with GGA-PBE.

Cell lengths 6.127, 6.127, 6.127 Å; angles 60.00, 60.00, 60.00 degrees
Fractional positions:
Be: 0.833 0.500 0.500
Be: 0.167 0.500 0.500
Be: 0.167 0.833 0.500
Be: 0.500 0.500 0.167
Be: 0.500 0.167 0.833
Be: 0.500 0.833 0.167
Be: 0.167 0.500 0.833
Be: 0.500 0.167 0.500
Be: 0.500 0.500 0.833
Be: 0.833 0.500 0.167
Be: 0.500 0.833 0.500
Be: 0.833 0.167 0.500
Rh: 0.000 0.000 0.000

## Properties
- SG = No. 225
- total moment (μB/f.u.) = 0.0

--- b ---
An optimized crystal structure of Be12Rh, computed with GGA-PBE.

Cell lengths 4.134, 5.508, 5.508 Å; angles 81.90, 67.96, 67.96 degrees
Fractional positions:
Be: 0.500 0.000 0.500
Be: 0.000 0.000 0.500
Be: 0.500 0.500 0.000
Be: 0.000 0.500 0.000
Be: 0.000 0.652 0.348
Be: 0.000 0.348 0.652
Be: 0.652 0.348 0.348
Be: 0.348 0.652 0.652
Be: 0.500 0.217 0.783
Be: 0.500 0.783 0.217
Be: 0.717 0.783 0.783
Be: 0.283 0.217 0.217
Rh: 0.000 0.000 0.000

## Properties
- SG = No. 139
- total moment (μB/f.u.) = 0.0

Most stable: b

--- a ---
An optimized crystal structure of BeRuRh, computed with GGA-PBE.

Cell lengths 5.064, 5.064, 5.064 Å; angles 148.35, 148.35, 45.37 degrees
Fractional positions:
Ru: 0.650 0.650 0.000
Rh: 0.351 0.351 0.000
Be: 0.999 0.999 0.000

## Properties
- SG = No. 107
- total moment (μB/f.u.) = 0.0

--- b ---
An optimized crystal structure of BeRuRh, computed with GGA-PBE.

Cell lengths 6.409, 6.162, 2.644 Å; angles 83.13, 72.68, 24.18 degrees
Fractional positions:
Ru: 0.347 0.347 0.653
Rh: 0.651 0.651 0.349
Be: 0.002 0.002 0.998

## Properties
- SG = No. 42
- total moment (μB/f.u.) = 0.0

Most stable: a

--- a ---
An optimized crystal structure of BeRuRh, computed with GGA-PBE.

Cell lengths 2.779, 4.128, 12.589 Å; angles 90.00, 90.00, 90.00 degrees
Fractional positions:
Ru: 0.750 0.250 0.528
Ru: 0.250 0.250 0.028
Ru: 0.250 0.750 0.472
Ru: 0.750 0.750 0.972
Be: 0.750 0.750 0.315
Be: 0.250 0.750 0.815
Be: 0.250 0.250 0.685
Be: 0.750 0.250 0.185
Rh: 0.750 0.750 0.665
Rh: 0.250 0.750 0.165
Rh: 0.250 0.250 0.335
Rh: 0.750 0.250 0.835

## Properties
- SG = No. 63
- total moment (μB/f.u.) = 0.0

--- b ---
An optimized crystal structure of BeRuRh, computed with GGA-PBE.

Cell lengths 4.006, 4.006, 2.686 Å; angles 90.00, 90.00, 120.00 degrees
Fractional positions:
Ru: 0.333 0.667 0.666
Rh: 0.667 0.333 0.165
Be: 0.000 0.000 0.169

## Properties
- SG = No. 156
- total moment (μB/f.u.) = 0.0

Most stable: a

--- a ---
An optimized crystal structure of BeRuRh, computed with GGA-PBE.

Cell lengths 4.486, 4.486, 4.486 Å; angles 144.71, 133.74, 59.49 degrees
Fractional positions:
Ru: 0.662 0.662 0.000
Rh: 0.338 0.338 0.000
Be: 0.000 0.000 0.000

## Properties
- SG = No. 44
- total moment (μB/f.u.) = 0.0

--- b ---
An optimized crystal structure of BeRuRh, computed with GGA-PBE.

Cell lengths 3.816, 3.816, 3.816 Å; angles 60.00, 60.00, 60.00 degrees
Fractional positions:
Ru: 0.500 0.500 0.500
Rh: 0.000 0.000 0.000
Be: 0.750 0.750 0.750

## Properties
- SG = No. 216
- total moment (μB/f.u.) = 0.0

Most stable: a

--- a ---
An optimized crystal structure of BeRuRh3, computed with GGA-PBE.

Cell lengths 4.640, 4.640, 4.640 Å; angles 90.00, 90.00, 90.00 degrees
Fractional positions:
Ru: 0.000 0.000 0.000
Rh: 0.000 0.500 0.000
Rh: 0.000 0.000 0.500
Rh: 0.500 0.000 0.000
Be: 0.500 0.500 0.500

## Properties
- SG = No. 221
- total moment (μB/f.u.) = 0.0

--- b ---
An optimized crystal structure of BeRuRh3, computed with GGA-PBE.

Cell lengths 4.082, 4.082, 4.082 Å; angles 90.00, 90.00, 90.00 degrees
Fractional positions:
Ru: 0.500 0.500 0.500
Rh: 0.000 0.500 0.000
Rh: 0.000 0.000 0.500
Rh: 0.500 0.000 0.000
Be: 0.000 0.000 0.000

## Properties
- SG = No. 221
- total moment (μB/f.u.) = 0.0

Most stable: b

--- a ---
An optimized crystal structure of BeRu3Rh, computed with GGA-PBE.

Cell lengths 4.638, 4.638, 4.638 Å; angles 90.00, 90.00, 90.00 degrees
Last column: magnetic moment on the atom in μB.
Fractional positions:
Ru: 0.000 0.500 0.000  0.74
Ru: 0.000 0.000 0.500  0.97
Ru: 0.500 0.000 0.000  0.46
Rh: 0.000 0.000 0.000  0.06
Be: 0.500 0.500 0.500  -0.02

## Properties
- SG = No. 221
- total moment (μB/f.u.) = 2.2

--- b ---
An optimized crystal structure of BeRu3Rh, computed with GGA-PBE.

Cell lengths 4.064, 4.064, 4.064 Å; angles 90.00, 90.00, 90.00 degrees
Fractional positions:
Ru: 0.000 0.500 0.000
Ru: 0.000 0.000 0.500
Ru: 0.500 0.000 0.000
Rh: 0.500 0.500 0.500
Be: 0.000 0.000 0.000

## Properties
- SG = No. 221
- total moment (μB/f.u.) = 0.0

Most stable: b

--- a ---
An optimized crystal structure of BeRhS3, computed with GGA-PBE.

Cell lengths 4.620, 4.620, 4.620 Å; angles 90.00, 90.00, 90.00 degrees
Last column: magnetic moment on the atom in μB.
Fractional positions:
Be: 0.500 0.500 0.500  -0.03
S: 0.000 0.500 0.000  0.21
S: 0.000 0.000 0.500  0.09
S: 0.500 0.000 0.000  0.32
Rh: 0.000 0.000 0.000  0.33

## Properties
- SG = No. 221
- total moment (μB/f.u.) = 1.2

--- b ---
An optimized crystal structure of BeRhS3, computed with GGA-PBE.

Cell lengths 4.213, 4.213, 4.213 Å; angles 90.00, 90.00, 90.00 degrees
Fractional positions:
Be: 0.000 0.000 0.000
S: 0.000 0.500 0.000
S: 0.000 0.000 0.500
S: 0.500 0.000 0.000
Rh: 0.500 0.500 0.500

## Properties
- SG = No. 221
- total moment (μB/f.u.) = 0.0

Most stable: b

--- a ---
An optimized crystal structure of BeSbRh2, computed with GGA-PBE.

Cell lengths 3.008, 3.008, 6.380 Å; angles 90.00, 90.00, 90.00 degrees
Fractional positions:
Sb: 0.500 0.500 0.250
Rh: 0.000 0.000 0.966
Rh: 0.000 0.000 0.534
Be: 0.500 0.500 0.750

## Properties
- SG = No. 123
- total moment (μB/f.u.) = 0.0

--- b ---
An optimized crystal structure of BeSbRh2, computed with GGA-PBE.

Cell lengths 4.381, 4.381, 4.381 Å; angles 60.00, 60.00, 60.00 degrees
Fractional positions:
Sb: 0.750 0.750 0.750
Rh: 0.000 0.000 0.000
Rh: 0.250 0.250 0.250
Be: 0.500 0.500 0.500

## Properties
- SG = No. 216
- total moment (μB/f.u.) = 0.0

--- c ---
An optimized crystal structure of BeSbRh2, computed with GGA-PBE.

Cell lengths 4.201, 3.031, 4.784 Å; angles 83.14, 90.00, 90.00 degrees
Fractional positions:
Sb: 0.000 0.624 0.428
Rh: 0.000 0.041 0.880
Rh: 0.500 0.145 0.291
Be: 0.500 0.690 0.901

## Properties
- SG = No. 6
- total moment (μB/f.u.) = 0.0

--- d ---
An optimized crystal structure of BeSbRh2, computed with GGA-PBE.

Cell lengths 4.340, 4.340, 4.340 Å; angles 60.00, 60.00, 60.00 degrees
Fractional positions:
Sb: 0.500 0.500 0.500
Rh: 0.250 0.250 0.250
Rh: 0.750 0.750 0.750
Be: 0.000 0.000 0.000

## Properties
- SG = No. 225
- total moment (μB/f.u.) = 0.0

Most stable: d